This record from Alexandria via LeMat-Bulk describes a geometry-optimized ScRe2Os2 structure. The functional is PBE.

Lattice parameters (Å, degrees): 7.6323 7.6323 2.7960 90.00 90.00 90.00
Space group P4/mbm (No. 127)
Inequivalent atoms, fractional coordinates:
1 Sc 0.0000 0.0000 0.0000 [2 per cell]
2 Re 0.1698 0.3302 0.5000 [4 per cell]
3 Os 0.1250 0.6250 0.0000 [4 per cell]

Calculated total energy: -10.725 eV per atom
Volume: 162.87 Å³/cell
ΔH_f (0 K): 0.01 eV/atom
Excess energy over the best structure of this formula in the dataset: 3.2 meV/atom
Spin magnetization: 0.00 μB per cell